1.
PmPrTlCo after structural relaxation, computed with PBE.

## Properties
The formation energy is -0.04 eV per atom. As for the space group: F-43m.

a = 5.2874 Å, b = 5.2874 Å, c = 5.2874 Å
α = 60.00°, β = 60.00°, γ = 60.00°
Positions (direct):
Pm 0.0000 0.0000 0.0000
Pr 0.5000 0.5000 0.5000
Tl 0.7500 0.7500 0.7500
Co 0.2500 0.2500 0.2500

***

2.
Pm3Pr3Zn2Co after structural relaxation, computed with PBE.

## Properties
The formation energy is -0.14 eV per atom. As for the space group: P-62m.

a = 8.7560 Å, b = 8.7560 Å, c = 3.7134 Å
α = 90.00°, β = 90.00°, γ = 120.00°
Positions (direct):
Pm 0.0000 0.2364 0.0000
Pm 0.2364 0.0000 0.0000
Pm 0.7636 0.7636 0.0000
Pr 0.0000 0.5922 0.5000
Pr 0.4078 0.4078 0.5000
Pr 0.5922 0.0000 0.5000
Zn 0.3333 0.6667 0.0000
Zn 0.6667 0.3333 0.0000
Co 0.0000 0.0000 0.5000

***

3.
PmPrZnCo after structural relaxation, computed with PBE.

## Properties
The formation energy is -0.14 eV per atom. The distance to the lowest polymorph of the same formula comes out at 0.000 eV/atom. As for the space group: Amm2.

a = 4.3810 Å, b = 5.8258 Å, c = 5.8258 Å
α = 39.86°, β = 90.00°, γ = 90.00°
Positions (direct):
Pm 0.0000 0.0000 0.0000
Pr 0.5000 0.7216 0.7216
Zn 0.0000 0.2972 0.2972
Co 0.5000 0.4172 0.4172

***

4.
PmPrZnCo after structural relaxation, computed with PBE.

## Properties
The formation energy is -0.10 eV per atom. The distance to the lowest polymorph of the same formula comes out at 0.041 eV/atom. As for the space group: F-43m.

a = 5.0496 Å, b = 5.0496 Å, c = 5.0496 Å
α = 60.00°, β = 60.00°, γ = 60.00°
Positions (direct):
Pm 0.0000 0.0000 0.0000
Pr 0.5000 0.5000 0.5000
Zn 0.7500 0.7500 0.7500
Co 0.2500 0.2500 0.2500

***

5.
Pm4CoPt after structural relaxation, computed with PBE.

## Properties
The formation energy is -0.40 eV per atom. The distance to the lowest polymorph of the same formula comes out at 0.015 eV/atom. As for the space group: P2_1/c.

a = 6.9795 Å, b = 6.9749 Å, c = 6.9629 Å
α = 90.00°, β = 93.69°, γ = 90.00°
Positions (direct):
Pm 0.1690 0.1751 0.1942
Pm 0.1690 0.3249 0.6942
Pm 0.3176 0.6659 0.1486
Pm 0.3176 0.8341 0.6486
Pm 0.6824 0.1659 0.3514
Pm 0.6824 0.3341 0.8514
Pm 0.8310 0.6751 0.3058
Pm 0.8310 0.8249 0.8058
Co 0.0000 0.0000 0.5000
Co 0.0000 0.5000 0.0000
Pt 0.5000 0.0000 0.0000
Pt 0.5000 0.5000 0.5000

***

6.
Pm8Co2Pt after structural relaxation, computed with PBE.

## Properties
The formation energy is -0.22 eV per atom. The distance to the lowest polymorph of the same formula comes out at 0.000 eV/atom. As for the space group: C2/m.

a = 9.1360 Å, b = 9.1360 Å, c = 6.7212 Å
α = 101.04°, β = 101.04°, γ = 32.63°
Positions (direct):
Pm 0.0442 0.0442 0.2821
Pm 0.1999 0.1999 0.8399
Pm 0.3268 0.3268 0.5291
Pm 0.4112 0.4112 0.0616
Pm 0.5888 0.5888 0.9384
Pm 0.6732 0.6732 0.4709
Pm 0.8001 0.8001 0.1601
Pm 0.9558 0.9558 0.7179
Co 0.2021 0.2021 0.2350
Co 0.7979 0.7979 0.7650
Pt 0.5000 0.5000 0.5000

***

7.
Pm6CoPt after structural relaxation, computed with PBE.

## Properties
The formation energy is -0.25 eV per atom. As for the space group: C2/m.

a = 6.5882 Å, b = 6.5882 Å, c = 6.8738 Å
α = 99.19°, β = 99.19°, γ = 116.77°
Positions (direct):
Pm 0.0574 0.3978 0.2419
Pm 0.2579 0.2579 0.7710
Pm 0.3978 0.0574 0.2419
Pm 0.6022 0.9426 0.7581
Pm 0.7421 0.7421 0.2290
Pm 0.9426 0.6022 0.7581
Co 0.0000 0.0000 0.0000
Pt 0.5000 0.5000 0.5000

***

8.
Pm5CoPt after structural relaxation, computed with PBE.

## Properties
The formation energy is -0.24 eV per atom. As for the space group: C2/c.

a = 6.9223 Å, b = 6.9223 Å, c = 10.3400 Å
α = 108.26°, β = 108.26°, γ = 66.22°
Positions (direct):
Pm 0.0691 0.9309 0.7500
Pm 0.0720 0.3766 0.6439
Pm 0.2330 0.5761 0.0069
Pm 0.3766 0.0720 0.1439
Pm 0.4239 0.7670 0.4931
Pm 0.5761 0.2330 0.5069
Pm 0.6234 0.9280 0.8561
Pm 0.7670 0.4239 0.9931
Pm 0.9280 0.6234 0.3561
Pm 0.9309 0.0691 0.2500
Co 0.0000 0.0000 0.0000
Co 0.0000 0.0000 0.5000
Pt 0.4446 0.5554 0.7500
Pt 0.5554 0.4446 0.2500

***

9.
Pm7Co2Pt2 after structural relaxation, computed with PBE.

## Properties
The formation energy is -0.33 eV per atom. As for the space group: Cmmm.

a = 6.7222 Å, b = 6.7222 Å, c = 6.8680 Å
α = 90.00°, β = 90.00°, γ = 110.59°
Positions (direct):
Pm 0.0000 0.0000 0.0000
Pm 0.0000 0.5000 0.2604
Pm 0.0000 0.5000 0.7396
Pm 0.5000 0.0000 0.2604
Pm 0.5000 0.0000 0.7396
Pm 0.5000 0.5000 0.2510
Pm 0.5000 0.5000 0.7490
Co 0.2932 0.7068 0.0000
Co 0.7068 0.2932 0.0000
Pt 0.1839 0.1839 0.5000
Pt 0.8161 0.8161 0.5000

***

10.
Pm8CoPt2 after structural relaxation, computed with PBE.

## Properties
The formation energy is -0.35 eV per atom. The distance to the lowest polymorph of the same formula comes out at 0.068 eV/atom. As for the space group: Cm.

a = 7.6113 Å, b = 7.6113 Å, c = 6.4494 Å
α = 103.02°, β = 103.02°, γ = 108.91°
Positions (direct):
Pm 0.0000 0.0000 0.0000
Pm 0.0058 0.2784 0.5465
Pm 0.1950 0.5257 0.1821
Pm 0.2784 0.0058 0.5465
Pm 0.4474 0.7160 0.8150
Pm 0.5257 0.1950 0.1821
Pm 0.7160 0.4474 0.8150
Pm 0.7225 0.7225 0.3987
Co 0.3599 0.3599 0.4336
Pt 0.0503 0.6845 0.6988
Pt 0.6845 0.0503 0.6988

***

11.
Pm5Co2Pt after structural relaxation, computed with PBE.

## Properties
The formation energy is -0.36 eV per atom. As for the space group: I4/mcm.

a = 8.8556 Å, b = 8.8556 Å, c = 8.8556 Å
α = 130.53°, β = 130.53°, γ = 72.56°
Positions (direct):
Pm 0.0000 0.0000 0.0000
Pm 0.0367 0.5367 0.8526
Pm 0.1840 0.0367 0.5000
Pm 0.3160 0.8160 0.8526
Pm 0.4633 0.3160 0.5000
Pm 0.5000 0.5000 0.0000
Pm 0.5367 0.6840 0.5000
Pm 0.6840 0.1840 0.1474
Pm 0.8160 0.9633 0.5000
Pm 0.9633 0.4633 0.1474
Co 0.1112 0.3888 0.5000
Co 0.3888 0.8888 0.2777
Co 0.6112 0.1112 0.7223
Co 0.8888 0.6112 0.5000
Pt 0.2500 0.2500 0.0000
Pt 0.7500 0.7500 0.0000

***

12.
Pm8Co2Pt after structural relaxation, computed with PBE.

## Properties
The formation energy is -0.17 eV per atom. The distance to the lowest polymorph of the same formula comes out at 0.056 eV/atom. As for the space group: Cm.

a = 7.4878 Å, b = 7.4878 Å, c = 6.3729 Å
α = 100.00°, β = 100.00°, γ = 113.12°
Positions (direct):
Pm 0.0000 0.0000 0.0000
Pm 0.0068 0.2807 0.5791
Pm 0.1440 0.5640 0.1900
Pm 0.2807 0.0068 0.5791
Pm 0.4369 0.7064 0.8021
Pm 0.5640 0.1440 0.1900
Pm 0.7064 0.4369 0.8021
Pm 0.7226 0.7226 0.3925
Co 0.0490 0.6738 0.7003
Co 0.6738 0.0490 0.7003
Pt 0.3632 0.3632 0.3896